# K3Mg2CdH9 (GGA-PBE, relaxed)
# Raw total energy ... -40.4 eV per formula unit
data_K3Mg2CdH9
_chemical_formula_sum 'K3 Mg2 Cd1 H9'
_space_group_name_H-M_alt 'P -3 m 1'
_space_group_IT_number 164
_space_group_name_Hall '-P 3 2"'
_cell_length_a 5.7095
_cell_length_b 5.7095
_cell_length_c 6.9968
_cell_angle_alpha 90.00
_cell_angle_beta 90.00
_cell_angle_gamma 120.00
loop_
_atom_site_label
_atom_site_fract_x
_atom_site_fract_y
_atom_site_fract_z
_atom_site_occupancy
K1 0.0000 0.0000 0.0000 1
K2 0.3333 0.6667 0.6643 1
Mg1 0.3333 0.6667 0.1606 1
Cd1 0.0000 0.0000 0.5000 1
H1 0.0000 0.5000 0.0000 1
H2 0.1693 0.3386 0.3291 1



# SrOs3 (GGA-PBE, relaxed)
# Raw total energy ... -31.9 eV per formula unit
# DOS at the Fermi energy ... 2.356 states/eV/f.u.
# ΔE_f ... 0.862 eV per atom
data_SrOs3
_chemical_formula_sum 'Sr3 Os9'
_space_group_name_H-M_alt 'R -3 m'
_space_group_IT_number 166
_space_group_name_Hall '-R 3 2"'
_cell_length_a 2.8073
_cell_length_b 2.8073
_cell_length_c 29.9831
_cell_angle_alpha 90.00
_cell_angle_beta 90.00
_cell_angle_gamma 120.00
loop_
_atom_site_label
_atom_site_fract_x
_atom_site_fract_y
_atom_site_fract_z
_atom_site_occupancy
Sr1 0.0000 0.0000 0.0000 1
Os1 0.0000 0.0000 0.2379 1
Os2 0.0000 0.0000 0.5000 1



# GaSi2HS (GGA-PBE, relaxed)
# Offset from the most stable computed form ... 292 meV per atom
# Raw total energy ... -21.1 eV per formula unit
# DOS at the Fermi energy ... 0.295 states/eV/f.u.
data_GaSi2HS
_chemical_formula_sum 'Ga2 Si4 H2 S2'
_space_group_name_H-M_alt 'C 1 m 1'
_space_group_IT_number 8
_cell_length_a 9.275
_cell_length_b 3.842
_cell_length_c 5.063
_cell_angle_alpha 90.00
_cell_angle_beta 94.86
_cell_angle_gamma 90.00
loop_
_space_group_symop_operation_xyz
'x,y,z'
'x,-y,z'
'x+1/2,y+1/2,z'
'x+1/2,-y+1/2,z'
loop_
_atom_site_label
_atom_site_fract_x
_atom_site_fract_y
_atom_site_fract_z
_atom_site_occupancy
Ga1 0.000 0.000 0.000 1
Si1 0.227 0.500 0.485 1
Si2 0.318 0.000 0.275 1
H1 0.297 0.500 0.772 1
S1 0.008 0.500 0.609 1



# KIn2Os (GGA-PBE, relaxed)
# Offset from the most stable computed form ... 21 meV per atom
# Raw total energy ... -16.4 eV per formula unit
# DOS at the Fermi energy ... 3.957 states/eV/f.u.
# ΔE_f ... 0.354 eV per atom
data_KIn2Os
_chemical_formula_sum 'K1 In2 Os1'
_space_group_name_H-M_alt 'P 4/m m m'
_space_group_IT_number 123
_space_group_name_Hall '-P 4 2'
_cell_length_a 3.227
_cell_length_b 3.227
_cell_length_c 9.137
_cell_angle_alpha 90.00
_cell_angle_beta 90.00
_cell_angle_gamma 90.00
loop_
_atom_site_label
_atom_site_fract_x
_atom_site_fract_y
_atom_site_fract_z
_atom_site_occupancy
K1 0.000 0.000 0.000 1
In1 0.500 0.500 0.313 1
Os1 0.000 0.000 0.500 1



# CaSn2H (GGA-PBE, relaxed)
# Raw total energy ... -13.2 eV per formula unit
# DOS at the Fermi energy ... 1.288 states/eV/f.u.
data_CaSn2H
_chemical_formula_sum 'Ca4 Sn8 H4'
_space_group_name_H-M_alt 'I -4 2 d'
_space_group_IT_number 122
_space_group_name_Hall 'I -4 2bw'
_cell_length_a 5.899
_cell_length_b 5.899
_cell_length_c 11.909
_cell_angle_alpha 90.00
_cell_angle_beta 90.00
_cell_angle_gamma 90.00
loop_
_atom_site_label
_atom_site_fract_x
_atom_site_fract_y
_atom_site_fract_z
_atom_site_occupancy
Ca1 0.000 0.000 0.000 1
Sn1 0.062 0.250 0.625 1
H1 0.000 0.000 0.500 1



# YAgAs2 (GGA-PBE, relaxed)
# Raw total energy ... -19.7 eV per formula unit
# DOS at the Fermi energy ... 1.954 states/eV/f.u.
# ΔE_f ... -0.267 eV per atom
data_YAgAs2
_chemical_formula_sum 'Y4 Ag4 As8'
_space_group_name_H-M_alt 'I -4 2 d'
_space_group_IT_number 122
_space_group_name_Hall 'I -4 2bw'
_cell_length_a 4.875
_cell_length_b 4.875
_cell_length_c 16.860
_cell_angle_alpha 90.00
_cell_angle_beta 90.00
_cell_angle_gamma 90.00
loop_
_atom_site_label
_atom_site_fract_x
_atom_site_fract_y
_atom_site_fract_z
_atom_site_occupancy
Y1 0.000 0.000 0.000 1
Ag1 0.000 0.000 0.500 1
As1 0.206 0.250 0.625 1



# Nd5HoP6 (GGA-PBE, relaxed)
# Raw total energy ... -79.4 eV per formula unit
# DOS at the Fermi energy ... 0.918 states/eV/f.u.
# ΔE_f ... -1.544 eV per atom
data_Nd5HoP6
_chemical_formula_sum 'Nd10 Ho2 P12'
_space_group_name_H-M_alt 'C 1 2/m 1'
_space_group_IT_number 12
_cell_length_a 7.171
_cell_length_b 12.417
_cell_length_c 7.169
_cell_angle_alpha 90.00
_cell_angle_beta 109.49
_cell_angle_gamma 90.00
loop_
_space_group_symop_operation_xyz
'x,y,z'
'-x,-y,-z'
'-x,y,-z'
'x,-y,z'
'x+1/2,y+1/2,z'
'-x+1/2,-y+1/2,-z'
'-x+1/2,y+1/2,-z'
'x+1/2,-y+1/2,z'
loop_
_atom_site_label
_atom_site_fract_x
_atom_site_fract_y
_atom_site_fract_z
_atom_site_occupancy
Nd1 0.000 0.000 0.000 1
Nd2 0.000 0.166 0.500 1
Nd3 0.000 0.332 0.000 1
Ho1 0.000 0.500 0.500 1
P1 0.245 0.500 0.253 1
P2 0.246 0.336 0.746 1



# LaHfI2N (GGA-PBE, relaxed)
# Offset from the most stable computed form ... 0 meV per atom
# Raw total energy ... -28.9 eV per formula unit
# DOS at the Fermi energy ... 2.965 states/eV/f.u.
# Formation energy (no corrections) ... -0.52 eV per atom
data_LaHfI2N
_chemical_formula_sum 'La1 Hf1 I2 N1'
_space_group_name_H-M_alt 'P 4/m m m'
_space_group_IT_number 123
_space_group_name_Hall '-P 4 2'
_cell_length_a 5.824
_cell_length_b 5.824
_cell_length_c 4.057
_cell_angle_alpha 90.00
_cell_angle_beta 90.00
_cell_angle_gamma 90.00
loop_
_atom_site_label
_atom_site_fract_x
_atom_site_fract_y
_atom_site_fract_z
_atom_site_occupancy
La1 0.000 0.000 0.000 1
Hf1 0.500 0.500 0.500 1
I1 0.000 0.500 0.500 1
N1 0.500 0.500 0.000 1



Copy entry 4 word for word.
# KIn2Os (GGA-PBE, relaxed)
# Offset from the most stable computed form ... 21 meV per atom
# Raw total energy ... -16.4 eV per formula unit
# DOS at the Fermi energy ... 3.957 states/eV/f.u.
# ΔE_f ... 0.354 eV per atom
data_KIn2Os
_chemical_formula_sum 'K1 In2 Os1'
_space_group_name_H-M_alt 'P 4/m m m'
_space_group_IT_number 123
_space_group_name_Hall '-P 4 2'
_cell_length_a 3.227
_cell_length_b 3.227
_cell_length_c 9.137
_cell_angle_alpha 90.00
_cell_angle_beta 90.00
_cell_angle_gamma 90.00
loop_
_atom_site_label
_atom_site_fract_x
_atom_site_fract_y
_atom_site_fract_z
_atom_site_occupancy
K1 0.000 0.000 0.000 1
In1 0.500 0.500 0.313 1
Os1 0.000 0.000 0.500 1



raw total energy of number 3 (GaSi2HS)? -21.1 eV per formula unit



What did the fourth record say?
# KIn2Os (GGA-PBE, relaxed)
# Offset from the most stable computed form ... 21 meV per atom
# Raw total energy ... -16.4 eV per formula unit
# DOS at the Fermi energy ... 3.957 states/eV/f.u.
# ΔE_f ... 0.354 eV per atom
data_KIn2Os
_chemical_formula_sum 'K1 In2 Os1'
_space_group_name_H-M_alt 'P 4/m m m'
_space_group_IT_number 123
_space_group_name_Hall '-P 4 2'
_cell_length_a 3.227
_cell_length_b 3.227
_cell_length_c 9.137
_cell_angle_alpha 90.00
_cell_angle_beta 90.00
_cell_angle_gamma 90.00
loop_
_atom_site_label
_atom_site_fract_x
_atom_site_fract_y
_atom_site_fract_z
_atom_site_occupancy
K1 0.000 0.000 0.000 1
In1 0.500 0.500 0.313 1
Os1 0.000 0.000 0.500 1